# PrNdGdZr | Alexandria | PBE | optimized geometry
# N(E_F)	1.99	states/eV per atom
# E_form	235	meV/atom
data_PrNdGdZr
_space_group_name_H-M_alt 'F -4 3 m'
_space_group_IT_number 216
_space_group_name_Hall 'F -4 2 3'
_cell_length_a 7.9254
_cell_length_b 7.9254
_cell_length_c 7.9254
_cell_angle_alpha 90.00
_cell_angle_beta 90.00
_cell_angle_gamma 90.00
loop_
_atom_site_label
_atom_site_type_symbol
_atom_site_fract_x
_atom_site_fract_y
_atom_site_fract_z
_atom_site_occupancy
Pr1 Pr 0.0000 0.0000 0.0000 1
Nd1 Nd 0.2500 0.2500 0.7500 1
Gd1 Gd 0.0000 0.0000 0.5000 1
Zr1 Zr 0.2500 0.2500 0.2500 1

# Pm12NdHo7 | Alexandria | PBE | optimized geometry
# N(E_F)	1.34	states/eV per atom
# E_form	675	meV/atom
# distance to the lowest polymorph of the same formula	574	meV/atom
data_Pm12NdHo7
_space_group_name_H-M_alt 'I m -3'
_space_group_IT_number 204
_space_group_name_Hall '-I 2 2 3'
_cell_length_a 11.5275
_cell_length_b 11.5275
_cell_length_c 11.5275
_cell_angle_alpha 90.00
_cell_angle_beta 90.00
_cell_angle_gamma 90.00
loop_
_atom_site_label
_atom_site_type_symbol
_atom_site_fract_x
_atom_site_fract_y
_atom_site_fract_z
_atom_site_occupancy
Pm1 Pm 0.0000 0.2549 0.2529 1
Nd1 Nd 0.0000 0.0000 0.0000 1
Ho1 Ho 0.0000 0.0000 0.5000 1
Ho2 Ho 0.2500 0.2500 0.2500 1

# PmNd6YHo2 | Alexandria | PBE | optimized geometry
# N(E_F)	1.44	states/eV per atom
# E_form	112	meV/atom
data_PmNd6YHo2
_space_group_name_H-M_alt 'C 1 2/c 1'
_space_group_IT_number 15
_space_group_name_Hall '-C 2yc'
_cell_length_a 9.2860
_cell_length_b 15.3527
_cell_length_c 9.7389
_cell_angle_alpha 90.00
_cell_angle_beta 97.59
_cell_angle_gamma 90.00
loop_
_atom_site_label
_atom_site_type_symbol
_atom_site_fract_x
_atom_site_fract_y
_atom_site_fract_z
_atom_site_occupancy
Pm1 Pm 0.0000 0.0276 0.2500 1
Nd1 Nd 0.0635 0.1784 0.9454 1
Nd2 Nd 0.0979 0.3916 0.1195 1
Nd3 Nd 0.2122 0.2245 0.3156 1
Y1 Y 0.0000 0.4095 0.7500 1
Ho1 Ho 0.2497 0.0488 0.5461 1

# CsGaHg2As | Alexandria | PBE | optimized geometry
# N(E_F)	0.44	states/eV per atom
# E_form	-79	meV/atom
# distance to the lowest polymorph of the same formula	0	meV/atom
data_CsGaHg2As
_space_group_name_H-M_alt 'P 4/m m m'
_space_group_IT_number 123
_space_group_name_Hall '-P 4 2'
_cell_length_a 5.7722
_cell_length_b 5.7722
_cell_length_c 5.0977
_cell_angle_alpha 90.00
_cell_angle_beta 90.00
_cell_angle_gamma 90.00
loop_
_atom_site_label
_atom_site_type_symbol
_atom_site_fract_x
_atom_site_fract_y
_atom_site_fract_z
_atom_site_occupancy
Cs1 Cs 0.0000 0.0000 0.0000 1
Ga1 Ga 0.5000 0.5000 0.5000 1
Hg1 Hg 0.0000 0.5000 0.5000 1
As1 As 0.5000 0.5000 0.0000 1

# Ag2IrBr | Alexandria | PBE | optimized geometry
# N(E_F)	0.45	states/eV per atom
# distance to the lowest polymorph of the same formula	0	meV/atom
# formation energy from raw total energies	445	meV per atom
data_Ag2IrBr
_space_group_name_H-M_alt 'I m m 2'
_space_group_IT_number 44
_space_group_name_Hall 'I 2 -2'
_cell_length_a 2.9732
_cell_length_b 4.6051
_cell_length_c 12.5923
_cell_angle_alpha 90.00
_cell_angle_beta 90.00
_cell_angle_gamma 90.00
loop_
_atom_site_label
_atom_site_type_symbol
_atom_site_fract_x
_atom_site_fract_y
_atom_site_fract_z
_atom_site_occupancy
Ag1 Ag 0.0000 0.0000 0.0000 1
Ag2 Ag 0.0000 0.5000 0.1385 1
Ir1 Ir 0.0000 0.0000 0.4515 1
Br1 Br 0.0000 0.5000 0.7908 1

# PmY2Pd8 | Alexandria | PBE | optimized geometry
# N(E_F)	0.50	states/eV per atom
# E_form	-716	meV/atom
data_PmY2Pd8
_space_group_name_H-M_alt 'C 1 2/m 1'
_space_group_IT_number 12
_space_group_name_Hall '-C 2y'
_cell_length_a 14.9471
_cell_length_b 4.2391
_cell_length_c 6.8138
_cell_angle_alpha 90.00
_cell_angle_beta 108.38
_cell_angle_gamma 90.00
loop_
_atom_site_label
_atom_site_type_symbol
_atom_site_fract_x
_atom_site_fract_y
_atom_site_fract_z
_atom_site_occupancy
Pm1 Pm 0.0000 0.0000 0.0000 1
Y1 Y 0.2177 0.5000 0.6655 1
Pd1 Pd 0.0373 0.5000 0.7145 1
Pd2 Pd 0.0908 0.0000 0.4545 1
Pd3 Pd 0.1428 0.5000 0.1824 1
Pd4 Pd 0.1784 0.0000 0.9069 1

# GaTe2N2 | Alexandria | PBE | optimized geometry
# N(E_F)	0.42	states/eV per atom
# distance to the lowest polymorph of the same formula	45	meV/atom
# formation energy from raw total energies	1295	meV per atom
data_GaTe2N2
_space_group_name_H-M_alt 'P 4/m m m'
_space_group_IT_number 123
_space_group_name_Hall '-P 4 2'
_cell_length_a 4.1548
_cell_length_b 4.1548
_cell_length_c 6.0602
_cell_angle_alpha 90.00
_cell_angle_beta 90.00
_cell_angle_gamma 90.00
loop_
_atom_site_label
_atom_site_type_symbol
_atom_site_fract_x
_atom_site_fract_y
_atom_site_fract_z
_atom_site_occupancy
Ga1 Ga 0.0000 0.0000 0.0000 1
Te1 Te 0.0000 0.0000 0.5000 1
Te2 Te 0.5000 0.5000 0.5000 1
N1 N 0.0000 0.5000 0.0000 1

# LaPrTm5 | Alexandria | PBE | optimized geometry
# N(E_F)	1.55	states/eV per atom
# E_form	174	meV/atom
data_LaPrTm5
_space_group_name_H-M_alt 'I m m a'
_space_group_IT_number 74
_space_group_name_Hall '-I 2b 2'
_cell_length_a 7.0599
_cell_length_b 11.5679
_cell_length_c 11.3969
_cell_angle_alpha 90.00
_cell_angle_beta 90.00
_cell_angle_gamma 90.00
loop_
_atom_site_label
_atom_site_type_symbol
_atom_site_fract_x
_atom_site_fract_y
_atom_site_fract_z
_atom_site_occupancy
La1 La 0.2500 0.2500 0.2500 1
Pr1 Pr 0.0000 0.2500 0.5480 1
Tm1 Tm 0.0000 0.0324 0.7500 1
Tm2 Tm 0.0000 0.2500 0.9544 1
Tm3 Tm 0.2476 0.0000 0.0000 1

# Tm2AsI2 | Alexandria | PBE | optimized geometry
# N(E_F)	0.30	states/eV per atom
# formation energy from raw total energies	-1421	meV per atom
data_Tm2AsI2
_space_group_name_H-M_alt 'R -3 m'
_space_group_IT_number 166
_space_group_name_Hall '-R 3 2"'
_cell_length_a 4.1323
_cell_length_b 4.1323
_cell_length_c 34.0172
_cell_angle_alpha 90.00
_cell_angle_beta 90.00
_cell_angle_gamma 120.00
loop_
_atom_site_label
_atom_site_type_symbol
_atom_site_fract_x
_atom_site_fract_y
_atom_site_fract_z
_atom_site_occupancy
Tm1 Tm 0.0000 0.0000 0.1225 1
As1 As 0.0000 0.0000 0.5000 1
I1 I 0.0000 0.0000 0.2694 1

# La2SmIn3 | Alexandria | PBE | optimized geometry
# N(E_F)	1.03	states/eV per atom
# E_form	-310	meV/atom
# distance to the lowest polymorph of the same formula	200	meV/atom
data_La2SmIn3
_space_group_name_H-M_alt 'C m c m'
_space_group_IT_number 63
_space_group_name_Hall '-C 2c 2'
_cell_length_a 3.8271
_cell_length_b 30.0454
_cell_length_c 6.6656
_cell_angle_alpha 90.00
_cell_angle_beta 90.00
_cell_angle_gamma 90.00
loop_
_atom_site_label
_atom_site_type_symbol
_atom_site_fract_x
_atom_site_fract_y
_atom_site_fract_z
_atom_site_occupancy
La1 La 0.0000 0.0065 0.2500 1
La2 La 0.0000 0.1546 0.7500 1
Sm1 Sm 0.0000 0.3315 0.7500 1
In1 In 0.0000 0.2539 0.2500 1
In2 In 0.0000 0.4223 0.0139 1

# Hf3H2Pb | Alexandria | PBE | optimized geometry
# N(E_F)	0.72	states/eV per atom
# VASP energy	-41.0	eV per formula unit
data_Hf3H2Pb
_space_group_name_H-M_alt 'P 1 21/m 1'
_space_group_IT_number 11
_space_group_name_Hall '-P 2yb'
_cell_length_a 6.0780
_cell_length_b 3.2513
_cell_length_c 10.2462
_cell_angle_alpha 90.00
_cell_angle_beta 96.64
_cell_angle_gamma 90.00
loop_
_atom_site_label
_atom_site_type_symbol
_atom_site_fract_x
_atom_site_fract_y
_atom_site_fract_z
_atom_site_occupancy
Hf1 Hf 0.0352 0.2500 0.3650 1
Hf2 Hf 0.2329 0.2500 0.8871 1
Hf3 Hf 0.3933 0.2500 0.6164 1
H1 H 0.0815 0.7500 0.8302 1
H2 H 0.3977 0.2500 0.4193 1
Pb1 Pb 0.2821 0.7500 0.1444 1

# Mn2BeIr | Alexandria | PBE | optimized geometry
# N(E_F)	0.78	states/eV per atom
# E_form	101	meV/atom
data_Mn2BeIr
_space_group_name_H-M_alt 'R -3 m'
_space_group_IT_number 166
_space_group_name_Hall '-R 3 2"'
_cell_length_a 2.6698
_cell_length_b 2.6698
_cell_length_c 23.5296
_cell_angle_alpha 90.00
_cell_angle_beta 90.00
_cell_angle_gamma 120.00
loop_
_atom_site_label
_atom_site_type_symbol
_atom_site_fract_x
_atom_site_fract_y
_atom_site_fract_z
_atom_site_occupancy
Mn1 Mn 0.0000 0.0000 0.2430 1
Be1 Be 0.0000 0.0000 0.5000 1
Ir1 Ir 0.0000 0.0000 0.0000 1

# Re5Mo | Alexandria | PBE | optimized geometry
# N(E_F)	1.15	states/eV per atom
# E_form	84	meV/atom
# distance to the lowest polymorph of the same formula	7	meV/atom
data_Re5Mo
_space_group_name_H-M_alt 'A m m 2'
_space_group_IT_number 38
_space_group_name_Hall 'A 2 -2'
_cell_length_a 4.5438
_cell_length_b 2.7644
_cell_length_c 14.4645
_cell_angle_alpha 90.00
_cell_angle_beta 90.00
_cell_angle_gamma 90.00
loop_
_atom_site_label
_atom_site_type_symbol
_atom_site_fract_x
_atom_site_fract_y
_atom_site_fract_z
_atom_site_occupancy
Re1 Re 0.0000 0.0000 0.0000 1
Re2 Re 0.0000 0.0000 0.3319 1
Re3 Re 0.0000 0.0000 0.6649 1
Re4 Re 0.5000 0.0000 0.1101 1
Re5 Re 0.5000 0.0000 0.7735 1
Mo1 Mo 0.5000 0.0000 0.4417 1

# SrInRu2 | Alexandria | PBE | optimized geometry
# N(E_F)	1.33	states/eV per atom
# E_form	639	meV/atom
data_SrInRu2
_space_group_name_H-M_alt 'P m m m'
_space_group_IT_number 47
_space_group_name_Hall '-P 2 2'
_cell_length_a 3.3299
_cell_length_b 4.5506
_cell_length_c 5.2246
_cell_angle_alpha 90.00
_cell_angle_beta 90.00
_cell_angle_gamma 90.00
loop_
_atom_site_label
_atom_site_type_symbol
_atom_site_fract_x
_atom_site_fract_y
_atom_site_fract_z
_atom_site_occupancy
Sr1 Sr 0.0000 0.0000 0.0000 1
In1 In 0.5000 0.0000 0.5000 1
Ru1 Ru 0.0000 0.5000 0.5000 1
Ru2 Ru 0.5000 0.5000 0.0000 1

# Cs4Na2Hg2Au | Alexandria | PBE | optimized geometry
# N(E_F)	0.45	states/eV per atom
# E_form	-138	meV/atom
data_Cs4Na2Hg2Au
_space_group_name_H-M_alt 'C 1 2/m 1'
_space_group_IT_number 12
_space_group_name_Hall '-C 2y'
_cell_length_a 14.3186
_cell_length_b 10.4999
_cell_length_c 6.4772
_cell_angle_alpha 90.00
_cell_angle_beta 90.44
_cell_angle_gamma 90.00
loop_
_atom_site_label
_atom_site_type_symbol
_atom_site_fract_x
_atom_site_fract_y
_atom_site_fract_z
_atom_site_occupancy
Cs1 Cs 0.1245 0.2283 0.2869 1
Na1 Na 0.1203 0.5000 0.8151 1
Hg1 Hg 0.1831 0.0000 0.7998 1
Au1 Au 0.0000 0.0000 0.0000 1

# Cu2Pt4Rh | Alexandria | PBE | optimized geometry
# N(E_F)	1.16	states/eV per atom
# E_form	40	meV/atom
data_Cu2Pt4Rh
_space_group_name_H-M_alt 'I 41/a m d'
_space_group_IT_number 141
_cell_length_a 7.6104
_cell_length_b 7.6104
_cell_length_c 15.3069
_cell_angle_alpha 90.00
_cell_angle_beta 90.00
_cell_angle_gamma 90.00
loop_
_space_group_symop_operation_xyz
'x,y,z'
'-x,-y,-z'
'-y+1/4,x+3/4,z+1/4'
'y+1/4,-x+3/4,-z+1/4'
'-x+1/2,-y,z+1/2'
'x+1/2,y,-z+1/2'
'y+1/4,-x+1/4,z+3/4'
'-y+1/4,x+1/4,-z+3/4'
'x,-y,-z'
'-x,y,z'
'-y+1/4,-x+1/4,-z+3/4'
'y+1/4,x+1/4,z+3/4'
'-x+1/2,y,-z+1/2'
'x+1/2,-y,z+1/2'
'y+1/4,x+3/4,-z+1/4'
'-y+1/4,-x+3/4,z+1/4'
'x+1/2,y+1/2,z+1/2'
'-x+1/2,-y+1/2,-z+1/2'
'-y+3/4,x+1/4,z+3/4'
'y+3/4,-x+1/4,-z+3/4'
'-x,-y+1/2,z'
'x,y+1/2,-z'
'y+3/4,-x+3/4,z+1/4'
'-y+3/4,x+3/4,-z+1/4'
'x+1/2,-y+1/2,-z+1/2'
'-x+1/2,y+1/2,z+1/2'
'-y+3/4,-x+3/4,-z+1/4'
'y+3/4,x+3/4,z+1/4'
'-x,y+1/2,-z'
'x,-y+1/2,z'
'y+3/4,x+1/4,-z+3/4'
'-y+3/4,-x+1/4,z+3/4'
loop_
_atom_site_label
_atom_site_type_symbol
_atom_site_fract_x
_atom_site_fract_y
_atom_site_fract_z
_atom_site_occupancy
Cu1 Cu 0.0000 0.0028 0.2502 1
Pt1 Pt 0.0000 0.0000 0.0000 1
Pt2 Pt 0.0000 0.2500 0.1258 1
Pt3 Pt 0.2463 0.0037 0.3750 1
Rh1 Rh 0.0000 0.0000 0.5000 1

# BaCa2PmAg4 | Alexandria | PBE | optimized geometry
# N(E_F)	0.71	states/eV per atom
# E_form	-272	meV/atom
data_BaCa2PmAg4
_space_group_name_H-M_alt 'R -3 m'
_space_group_IT_number 166
_space_group_name_Hall '-R 3 2"'
_cell_length_a 5.3373
_cell_length_b 5.3373
_cell_length_c 27.4319
_cell_angle_alpha 90.00
_cell_angle_beta 90.00
_cell_angle_gamma 120.00
loop_
_atom_site_label
_atom_site_type_symbol
_atom_site_fract_x
_atom_site_fract_y
_atom_site_fract_z
_atom_site_occupancy
Ba1 Ba 0.0000 0.0000 0.0000 1
Ca1 Ca 0.0000 0.0000 0.2450 1
Pm1 Pm 0.0000 0.0000 0.5000 1
Ag1 Ag 0.0000 0.0000 0.1298 1
Ag2 Ag 0.0000 0.0000 0.3879 1

# AcNd3Ru | Alexandria | PBE | optimized geometry
# N(E_F)	0.98	states/eV per atom
# E_form	-138	meV/atom
# distance to the lowest polymorph of the same formula	0	meV/atom
data_AcNd3Ru
_space_group_name_H-M_alt 'C 1 2/m 1'
_space_group_IT_number 12
_space_group_name_Hall '-C 2y'
_cell_length_a 12.5246
_cell_length_b 8.7202
_cell_length_c 8.5797
_cell_angle_alpha 90.00
_cell_angle_beta 133.19
_cell_angle_gamma 90.00
loop_
_atom_site_label
_atom_site_type_symbol
_atom_site_fract_x
_atom_site_fract_y
_atom_site_fract_z
_atom_site_occupancy
Ac1 Ac 0.0500 0.0000 0.3312 1
Nd1 Nd 0.0474 0.5000 0.2486 1
Nd2 Nd 0.2426 0.2960 0.7886 1
Ru1 Ru 0.2487 0.5000 0.1016 1

# KCaZn | Alexandria | PBE | optimized geometry
# N(E_F)	1.01	states/eV per atom
# E_form	133	meV/atom
data_KCaZn
_space_group_name_H-M_alt 'P 3 m 1'
_space_group_IT_number 156
_space_group_name_Hall 'P 3 -2"'
_cell_length_a 4.1095
_cell_length_b 4.1095
_cell_length_c 8.2327
_cell_angle_alpha 90.00
_cell_angle_beta 90.00
_cell_angle_gamma 120.00
loop_
_atom_site_label
_atom_site_type_symbol
_atom_site_fract_x
_atom_site_fract_y
_atom_site_fract_z
_atom_site_occupancy
K1 K 0.0000 0.0000 0.0000 1
Ca1 Ca 0.3333 0.6667 0.5442 1
Zn1 Zn 0.6667 0.3333 0.3090 1

# PaOsPd2 | Alexandria | PBE | optimized geometry
# N(E_F)	1.44	states/eV per atom
# E_form	-123	meV/atom
# distance to the lowest polymorph of the same formula	443	meV/atom
data_PaOsPd2
_space_group_name_H-M_alt 'F m -3 m'
_space_group_IT_number 225
_space_group_name_Hall '-F 4 2 3'
_cell_length_a 6.5931
_cell_length_b 6.5931
_cell_length_c 6.5931
_cell_angle_alpha 90.00
_cell_angle_beta 90.00
_cell_angle_gamma 90.00
loop_
_atom_site_label
_atom_site_type_symbol
_atom_site_fract_x
_atom_site_fract_y
_atom_site_fract_z
_atom_site_occupancy
Pa1 Pa 0.0000 0.0000 0.0000 1
Os1 Os 0.0000 0.0000 0.5000 1
Pd1 Pd 0.2500 0.2500 0.2500 1